No. 1
The following is a PBE calculation of a geometry-optimized Pr2Ta2InRh5 structure, from the Alexandria database.

Cell lengths 3.144, 11.187, 11.187 Å; angles 90.00, 90.00, 90.00 degrees
Fractional positions:
Pr 0.000 0.672 0.172
Pr 0.000 0.328 0.828
Pr 0.000 0.172 0.328
Pr 0.000 0.828 0.672
Ta 0.000 0.136 0.636
Ta 0.000 0.864 0.364
Ta 0.000 0.636 0.864
Ta 0.000 0.364 0.136
In 0.000 0.000 0.000
In 0.000 0.500 0.500
Rh 0.500 0.198 0.060
Rh 0.500 0.802 0.940
Rh 0.500 0.060 0.802
Rh 0.500 0.698 0.440
Rh 0.500 0.940 0.198
Rh 0.500 0.302 0.560
Rh 0.500 0.560 0.698
Rh 0.500 0.440 0.302
Rh 0.500 0.500 0.000
Rh 0.500 0.000 0.500

Formation energy (eV/atom): -0.355
Density of states at the Fermi level (states/eV/atom): 0.717
Calculated total energy (eV per atom): -7.63
Magnetic moment (μB per formula unit): 0.00
ρ (g/cm³): 10.74

No. 2
The following is a PBE calculation of a geometry-optimized TbPr2In2Rh5 structure, from the Alexandria database.

Cell lengths 3.742, 10.529, 10.529 Å; angles 90.00, 90.00, 90.00 degrees
Fractional positions:
Tb 0.000 0.000 0.000
Tb 0.000 0.500 0.500
Pr 0.000 0.671 0.171
Pr 0.000 0.329 0.829
Pr 0.000 0.171 0.329
Pr 0.000 0.829 0.671
In 0.000 0.127 0.627
In 0.000 0.873 0.373
In 0.000 0.627 0.873
In 0.000 0.373 0.127
Rh 0.500 0.203 0.063
Rh 0.500 0.797 0.937
Rh 0.500 0.063 0.797
Rh 0.500 0.703 0.437
Rh 0.500 0.937 0.203
Rh 0.500 0.297 0.563
Rh 0.500 0.563 0.703
Rh 0.500 0.437 0.297
Rh 0.500 0.500 0.000
Rh 0.500 0.000 0.500

Formation energy (eV/atom): -0.506
Density of states at the Fermi level (states/eV/atom): 0.487
Calculated total energy (eV per atom): -6.15
Magnetic moment (μB per formula unit): 0.00
ρ (g/cm³): 9.49

No. 3
The following is a PBE calculation of a geometry-optimized TbPrInRh structure, from the Alexandria database.

Cell lengths 5.212, 5.212, 5.212 Å; angles 60.00, 60.00, 60.00 degrees
Fractional positions:
Pr 0.750 0.750 0.750
Rh 0.000 0.000 0.000
Tb 0.250 0.250 0.250
In 0.500 0.500 0.500

Formation energy (eV/atom): -0.467
Density of states at the Fermi level (states/eV/atom): 0.938
Calculated total energy (eV per atom): -5.34
Magnetic moment (μB per formula unit): 0.00
ρ (g/cm³): 8.58

No. 4
The following is a PBE calculation of a geometry-optimized Pr3Tl2In3Rh structure, from the Alexandria database.

Cell lengths 4.648, 7.700, 7.700 Å; angles 120.00, 90.00, 90.00 degrees
Fractional positions:
Pr 0.000 0.000 0.390
Pr 0.000 0.610 0.610
Pr 0.000 0.390 0.000
Tl 0.500 0.333 0.667
Tl 0.500 0.667 0.333
In 0.500 0.769 0.000
In 0.500 0.231 0.231
In 0.500 0.000 0.769
Rh 0.000 0.000 0.000

Formation energy (eV/atom): -0.520
Density of states at the Fermi level (states/eV/atom): 0.427
Calculated total energy (eV per atom): -4.37
Magnetic moment (μB per formula unit): 0.00
ρ (g/cm³): 8.90

No. 5
The following is a PBE calculation of a geometry-optimized PrTmInRh structure, from the Alexandria database.

Cell lengths 5.172, 5.172, 5.172 Å; angles 60.00, 60.00, 60.00 degrees
Fractional positions:
Pr 0.750 0.750 0.750
Tm 0.250 0.250 0.250
Rh 0.000 0.000 0.000
In 0.500 0.500 0.500

Formation energy (eV/atom): -0.483
Density of states at the Fermi level (states/eV/atom): 0.846
Calculated total energy (eV per atom): -5.32
Magnetic moment (μB per formula unit): 0.00
ρ (g/cm³): 8.96

No. 6
The following is a PBE calculation of a geometry-optimized Pr2ZnIn2Rh5 structure, from the Alexandria database.

Cell lengths 3.595, 10.383, 10.383 Å; angles 90.00, 90.00, 90.00 degrees
Fractional positions:
Pr 0.000 0.669 0.169
Pr 0.000 0.331 0.831
Pr 0.000 0.169 0.331
Pr 0.000 0.831 0.669
Zn 0.000 0.000 0.000
Zn 0.000 0.500 0.500
In 0.000 0.132 0.632
In 0.000 0.868 0.368
In 0.000 0.632 0.868
In 0.000 0.368 0.132
Rh 0.500 0.193 0.048
Rh 0.500 0.807 0.952
Rh 0.500 0.048 0.807
Rh 0.500 0.693 0.452
Rh 0.500 0.952 0.193
Rh 0.500 0.307 0.548
Rh 0.500 0.548 0.693
Rh 0.500 0.452 0.307
Rh 0.500 0.500 0.000
Rh 0.500 0.000 0.500

Formation energy (eV/atom): -0.354
Density of states at the Fermi level (states/eV/atom): 0.540
Calculated total energy (eV per atom): -5.66
Magnetic moment (μB per formula unit): 0.00
ρ (g/cm³): 9.35

No. 7
The following is a PBE calculation of a geometry-optimized Pr2Zn2InRh5 structure, from the Alexandria database.

Cell lengths 3.713, 9.870, 9.870 Å; angles 90.00, 90.00, 90.00 degrees
Fractional positions:
Pr 0.000 0.676 0.176
Pr 0.000 0.324 0.824
Pr 0.000 0.176 0.324
Pr 0.000 0.824 0.676
Zn 0.000 0.122 0.622
Zn 0.000 0.878 0.378
Zn 0.000 0.622 0.878
Zn 0.000 0.378 0.122
In 0.000 0.000 0.000
In 0.000 0.500 0.500
Rh 0.500 0.208 0.066
Rh 0.500 0.792 0.934
Rh 0.500 0.066 0.792
Rh 0.500 0.708 0.434
Rh 0.500 0.934 0.208
Rh 0.500 0.292 0.566
Rh 0.500 0.566 0.708
Rh 0.500 0.434 0.292
Rh 0.500 0.500 0.000
Rh 0.500 0.000 0.500

Formation energy (eV/atom): -0.537
Density of states at the Fermi level (states/eV/atom): 0.597
Calculated total energy (eV per atom): -5.70
Magnetic moment (μB per formula unit): 0.00
ρ (g/cm³): 9.57

No. 8
The following is a PBE calculation of a geometry-optimized Pr3In2Ru structure, from the Alexandria database.

Cell lengths 7.011, 7.011, 8.054 Å; angles 74.13, 74.13, 78.87 degrees
Fractional positions:
Pr 0.396 0.604 0.250
Pr 0.604 0.396 0.750
Pr 0.077 0.229 0.038
Pr 0.771 0.923 0.462
Pr 0.923 0.771 0.962
Pr 0.229 0.077 0.538
In 0.933 0.487 0.350
In 0.513 0.067 0.150
In 0.487 0.933 0.850
In 0.067 0.513 0.650
Ru 0.705 0.295 0.250
Ru 0.295 0.705 0.750

Formation energy (eV/atom): -0.200
Density of states at the Fermi level (states/eV/atom): 0.826
Calculated total energy (eV per atom): -5.05
Magnetic moment (μB per formula unit): 0.00
ρ (g/cm³): 6.89

No. 9
The following is a PBE calculation of a geometry-optimized PrInRu structure, from the Alexandria database.

Cell lengths 6.281, 6.856, 7.520 Å; angles 90.00, 90.00, 117.26 degrees
Fractional positions:
Ru 0.601 0.202 0.551
Ru 0.899 0.798 0.051
Ru 0.399 0.798 0.449
Ru 0.101 0.202 0.949
In 0.303 0.105 0.250
In 0.197 0.895 0.750
In 0.697 0.895 0.750
In 0.803 0.105 0.250
Pr 0.807 0.614 0.393
Pr 0.693 0.386 0.893
Pr 0.193 0.386 0.607
Pr 0.307 0.614 0.107

Formation energy (eV/atom): -0.175
Density of states at the Fermi level (states/eV/atom): 0.880
Calculated total energy (eV per atom): -5.77
Magnetic moment (μB per formula unit): 0.00
ρ (g/cm³): 8.23

No. 10
The following is a PBE calculation of a geometry-optimized Pr3InRu structure, from the Alexandria database.

Cell lengths 4.684, 8.146, 8.414 Å; angles 112.27, 90.00, 90.00 degrees
Fractional positions:
Pr 0.750 0.656 0.420
Pr 0.250 0.344 0.580
Pr 0.750 0.331 0.908
Pr 0.250 0.960 0.763
Pr 0.250 0.669 0.092
Pr 0.750 0.040 0.237
In 0.250 0.307 0.178
In 0.750 0.693 0.822
Ru 0.250 0.908 0.422
Ru 0.750 0.092 0.578

Formation energy (eV/atom): -0.239
Density of states at the Fermi level (states/eV/atom): 0.833
Calculated total energy (eV per atom): -5.51
Magnetic moment (μB per formula unit): 0.00
Relative energy among the computed polymorphs (meV/atom): 58
ρ (g/cm³): 7.14

No. 11
The following is a PBE calculation of a geometry-optimized Pr6InRu structure, from the Alexandria database.

Cell lengths 6.602, 8.423, 6.621 Å; angles 50.50, 79.58, 73.48 degrees
Fractional positions:
Pr 0.795 0.590 0.614
Pr 0.795 0.204 0.386
Pr 0.205 0.796 0.614
Pr 0.205 0.410 0.386
Pr 0.595 0.795 0.000
Pr 0.405 0.205 0.000
In 0.000 0.000 0.000
Ru 0.500 0.500 0.000

Formation energy (eV/atom): -0.054
Density of states at the Fermi level (states/eV/atom): 1.078
Calculated total energy (eV per atom): -5.14
Magnetic moment (μB per formula unit): 0.00
ρ (g/cm³): 6.47

No. 12
The following is a PBE calculation of a geometry-optimized Pr5In2Ru structure, from the Alexandria database.

Cell lengths 7.261, 7.261, 6.885 Å; angles 121.81, 121.81, 90.01 degrees
Fractional positions:
Pr 0.734 0.239 0.973
Pr 0.239 0.239 0.973
Pr 0.734 0.734 0.973
Pr 0.239 0.734 0.973
Pr 0.758 0.758 0.516
In 0.231 0.731 0.462
In 0.731 0.231 0.462
Ru 0.110 0.110 0.220

Formation energy (eV/atom): -0.169
Density of states at the Fermi level (states/eV/atom): 0.906
Calculated total energy (eV per atom): -5.00
Magnetic moment (μB per formula unit): 0.00
Relative energy among the computed polymorphs (meV/atom): 164
ρ (g/cm³): 7.11

Question: Look up the calculated total energy of the seventh one.
Answer: -5.70 eV per atom

Question: What is the formula in the first record?
Answer: Pr2Ta2InRh5

Question: What is the formula in the sixth record?
Answer: Pr2ZnIn2Rh5

Question: ρ of number 1 (Pr2Ta2InRh5)?
Answer: 10.74 g/cm³